Entry from Alexandria: an optimized crystal structure of CsUTeBr2 (PBE-GGA).

Cell: 4.5373 10.3143 8.8657 Å, 90.00 90.00 102.71°
Closest atoms and distances in Å follow each position.
Atoms (fractional coordinates):
Te1 0.4931 0.9862 0.2500  4 U 3.17
Te2 0.5069 0.0138 0.7500  4 U 3.17
U1 0.0000 0.0000 0.5000  2 Br 2.87, 4 Te 3.17
Cs1 0.7069 0.4139 0.7500  6 Br 3.55-3.65
Br1 0.1423 0.2847 0.4791  1 U 2.87
Br2 0.1423 0.2847 0.0209  1 U 2.87
Cs2 0.2931 0.5861 0.2500  6 Br 3.55-3.65
Br3 0.8577 0.7153 0.9791  1 U 2.87
Br4 0.8577 0.7153 0.5209  1 U 2.87
U2 0.0000 0.0000 0.0000  2 Br 2.87, 4 Te 3.17

raw formation energy = -1.22 eV/atom
mass density = 5.40 Mg/m³
crystal system = orthorhombic